The following is a DFT calculation (PBE with a Hubbard U) of crystalline WO at its relaxed geometry.

Calculated values
E   -6.59 eV per atom
Mass density   11.44 g/cm3
Energy above the lowest structure with this stoichiometry   0.51 eV per formula unit
Space-group type   F-43m

```
WO
1.0
0.000 2.439 2.439
2.439 0.000 2.439
2.439 2.439 0.000
W O
1 1
Direct
0.000 0.000 0.000 W
0.250 0.250 0.250 O
```